# 1
VASP calculation (PBE-GGA) on an optimized crystal structure of Be2InW.

## Properties
As for the space group: P4/mmm. The crystal system is tetragonal. The value obtained for the formation energy is 0.40 eV/atom.

a = 3.9564 Å, b = 3.9564 Å, c = 3.4422 Å
α = 90.00°, β = 90.00°, γ = 90.00°
With the nearest neighbours (Å) after each atom.
Atoms (fractional coordinates):
Be 0.0000 0.0000 0.0000  4 W 2.62, 4 In 2.62, 4 Be 2.80
Be 0.5000 0.5000 0.0000  4 In 2.62, 4 W 2.62, 4 Be 2.80
W 0.0000 0.5000 0.5000  8 Be 2.62, 4 In 2.80
In 0.5000 0.0000 0.5000  8 Be 2.62, 4 W 2.80

=====

# 2
VASP calculation (PBE-GGA) on an optimized crystal structure of AcLa2Nd.

## Properties
As for the space group: Cm. The crystal system is monoclinic. The value obtained for the formation energy is 0.02 eV/atom.

a = 5.3590 Å, b = 6.5516 Å, c = 5.3607 Å
α = 65.76°, β = 90.00°, γ = 114.14°
With the nearest neighbours (Å) after each atom.
Atoms (fractional coordinates):
La 0.0000 0.0001 0.9999  4 Ac 3.78-3.79, 4 La 3.78-3.79, 4 Nd 3.79
La 0.7501 0.5001 0.7499  4 La 3.78-3.79, 4 Nd 3.78-3.79, 4 Ac 3.79
Nd 0.5000 0.9999 0.5001  4 Ac 3.78-3.79, 8 La 3.78-3.79
Ac 0.2500 0.4999 0.2501  8 La 3.78-3.79, 4 Nd 3.78-3.79

=====

# 3
VASP calculation (PBE-GGA) on an optimized crystal structure of Pu2TiPd9.

## Properties
As for the space group: P4/mmm. The crystal system is tetragonal. The value obtained for the formation energy is -0.57 eV/atom.

a = 4.0776 Å, b = 4.0776 Å, c = 12.2387 Å
α = 90.00°, β = 90.00°, γ = 90.00°
With the nearest neighbours (Å) after each atom.
Atoms (fractional coordinates):
Pd 0.0000 0.5000 0.1517  8 Pd 2.76-2.94, 2 Ti 2.76, 2 Pu 2.97
Pd 0.5000 0.0000 0.1517  8 Pd 2.76-2.94, 2 Ti 2.76, 2 Pu 2.97
Pd 0.5000 0.0000 0.5000  8 Pd 2.88-2.95, 4 Pu 2.93
Pd 0.5000 0.5000 0.0000  8 Pd 2.76, 4 Ti 2.88
Pd 0.5000 0.5000 0.3252  4 Pu 2.88, 8 Pd 2.94-2.95
Pd 0.0000 0.5000 0.5000  8 Pd 2.88-2.95, 4 Pu 2.93
Pd 0.5000 0.0000 0.8483  8 Pd 2.76-2.94, 2 Ti 2.76, 2 Pu 2.97
Pd 0.5000 0.5000 0.6748  4 Pu 2.88, 8 Pd 2.94-2.95
Pd 0.0000 0.5000 0.8483  8 Pd 2.76-2.94, 2 Ti 2.76, 2 Pu 2.97
Pu 0.0000 0.0000 0.3285  12 Pd 2.88-2.97
Pu 0.0000 0.0000 0.6715  12 Pd 2.88-2.97
Ti 0.0000 0.0000 0.0000  12 Pd 2.76-2.88

=====

# 4
VASP calculation (PBE-GGA) on an optimized crystal structure of VAsI.

## Properties
As for the space group: C2/m. The crystal system is monoclinic. As for the uncorrected formation energy: -3.9 kcal/mol of atoms.

a = 6.4115 Å, b = 3.6602 Å, c = 14.5558 Å
α = 90.00°, β = 117.59°, γ = 90.00°
With the nearest neighbours (Å) after each atom.
Atoms (fractional coordinates):
As 0.4572 0.5000 0.1283  3 V 2.44-2.46
As 0.5428 0.0000 0.3717  3 V 2.44-2.46
As 0.4572 0.0000 0.6283  3 V 2.44-2.46
As 0.5428 0.5000 0.8717  3 V 2.44-2.46
I 0.9533 0.0000 0.1291  3 V 2.85-2.88
I 0.0467 0.0000 0.8709  3 V 2.85-2.88
I 0.0467 0.5000 0.3709  3 V 2.85-2.88
I 0.9533 0.5000 0.6291  3 V 2.85-2.88
V 0.6883 0.5000 0.7438  3 As 2.44-2.46
V 0.3117 0.0000 0.7562  3 As 2.44-2.46
V 0.3117 0.5000 0.2562  3 As 2.44-2.46
V 0.6883 0.0000 0.2438  3 As 2.44-2.46

=====

# 5
VASP calculation (PBE-GGA) on an optimized crystal structure of Ta2CuSe.

## Properties
As for the space group: F-43m. The crystal system is cubic. As for the uncorrected formation energy: 14.0 kcal/mol of atoms.

a = 4.5915 Å, b = 4.5915 Å, c = 4.5915 Å
α = 60.00°, β = 60.00°, γ = 60.00°
With the nearest neighbours (Å) after each atom.
Atoms (fractional coordinates):
Se 0.7500 0.7500 0.7500  4 Ta 2.81, 4 Cu 2.81
Ta 0.0000 0.0000 0.0000  4 Ta 2.81, 4 Se 2.81
Ta 0.2500 0.2500 0.2500  4 Cu 2.81, 4 Ta 2.81
Cu 0.5000 0.5000 0.5000  4 Ta 2.81, 4 Se 2.81

=====

# 6
VASP calculation (PBE-GGA) on an optimized crystal structure of ScAl3V.

## Properties
As for the space group: P6_3/mmc. The crystal system is hexagonal. The value obtained for the formation energy is -0.08 eV/atom.

a = 5.3406 Å, b = 6.2896 Å, c = 6.2896 Å
α = 119.99°, β = 90.00°, γ = 90.00°
With the nearest neighbours (Å) after each atom.
Atoms (fractional coordinates):
Al 0.7500 0.6121 0.8060  2 V 2.50, 2 Al 2.63
Al 0.2500 0.8060 0.6121  2 V 2.50, 2 Al 2.63
Al 0.2500 0.3879 0.1940  2 V 2.50, 2 Al 2.63
Al 0.7500 0.1940 0.8060  2 V 2.50, 2 Al 2.63
Al 0.7500 0.1940 0.3879  2 V 2.50, 2 Al 2.63
Al 0.2500 0.8060 0.1940  2 V 2.50, 2 Al 2.63
V 0.0000 0.0000 0.0000  6 Al 2.50, 2 V 2.67
V 0.5000 0.0000 0.0000  6 Al 2.50, 2 V 2.67
Sc 0.7500 0.6666 0.3334  12 Al 3.07-3.16
Sc 0.2500 0.3334 0.6666  12 Al 3.07-3.16